This record from Alexandria describes an optimized crystal structure of LiMn3CrO8. The functional is PBE with a Hubbard U.

```
LiMn3CrO8
1.0
2.9214 1.6867 4.8663
-2.9214 1.6867 4.8663
0.0000 -3.3734 4.8663
Li Mn Cr O
1 3 1 8
Cartesian
0.0000 0.0000 0.0000
0.0000 -1.6745 7.9546
-1.4502 0.8372 7.9546
1.4502 0.8373 7.9546
0.0000 0.0000 5.5392
0.0000 -1.5143 4.1996
-1.3114 0.7572 4.1996
0.0000 0.0000 2.0739
-1.2987 -0.7498 6.8760
1.3114 0.7572 4.1996
0.0000 0.0000 8.9504
1.2987 -0.7498 6.8760
0.0000 1.4996 6.8760
```

Output
crystal system: trigonal
total DFT energy (no corrections): -0.5211 Ry/atom
space group: R3m, No. 160